The following is a PBE-GGA calculation of crystalline Li2HoAlAu4 at its relaxed geometry, from Alexandria.

a b c (Å): 4.5135 4.5135 8.5356
angles (deg): 74.67 74.67 60.00
Positions (direct):
Li 0.7566 0.7566 0.7301
Li 0.2434 0.2434 0.2699
Ho 0.0000 0.0000 0.0000
Al 0.5000 0.5000 0.5000
Au 0.3932 0.3932 0.8204
Au 0.8701 0.8701 0.3896
Au 0.1299 0.1299 0.6104
Au 0.6068 0.6068 0.1796

Calculated formation energy (eV/atom): -0.63
VASP energy (eV per atom): -3.788
V (A^3/atom): 17.92